Record 1
The following is a GGA-PBE calculation of a relaxed Pr5Cd4N crystal, from the Alexandria database.

Unit cell a=10.1713 b=10.1713 c=5.2322 alpha=90.00 beta=90.00 gamma=90.00
Space group I4/m (No. 87)
Symmetry-distinct sites (fractional):
Pr  0.0000  0.0000  0.0000 x2
Pr  0.1396  0.8008  0.5000 x8
Cd  0.0250  0.6498  0.0000 x8
N  0.0000  0.0000  0.5000 x2

VASP energy ... -80.60 eV for the cell shown
Crystal system ... tetragonal
N(E_F) ... 12.28 states/eV/cell
Formation energy without anion corrections ... -42.6 kJ per mole of atoms

Record 2
The following is a GGA-PBE calculation of a relaxed Pr3Cd2N crystal, from the Alexandria database.

Unit cell a=16.3103 b=5.1174 c=3.6644 alpha=90.00 beta=90.36 gamma=90.00
Space group C2/m (No. 12)
Symmetry-distinct sites (fractional):
Pr  0.0000  0.0000  0.0000 x2
Pr  0.1100  0.5000  0.5018 x4
Cd  0.2014  0.0000  0.9991 x4
N  0.0000  0.5000  0.0000 x2

VASP energy ... -56.37 eV for the cell shown
Crystal system ... monoclinic
N(E_F) ... 10.69 states/eV/cell
Formation energy without anion corrections ... -59.3 kJ per mole of atoms

Record 3
The following is a GGA-PBE calculation of a relaxed PrSm2CdN crystal, from the Alexandria database.

Unit cell a=4.9634 b=4.9634 c=5.1015 alpha=90.00 beta=90.00 gamma=90.00
Space group P4/mmm (No. 123)
Symmetry-distinct sites (fractional):
Pr  0.0000  0.0000  0.0000 x1
Sm  0.0000  0.5000  0.5000 x2
Cd  0.5000  0.5000  0.0000 x1
N  0.0000  0.0000  0.5000 x1

VASP energy ... -27.07 eV for the cell shown
Crystal system ... tetragonal
N(E_F) ... 5.26 states/eV/cell
Formation energy without anion corrections ... -69.8 kJ per mole of atoms

Record 4
The following is a GGA-PBE calculation of a relaxed Pr2SmCdN crystal, from the Alexandria database.

Unit cell a=5.1054 b=5.1054 c=4.9438 alpha=90.00 beta=90.00 gamma=90.00
Space group P4/mmm (No. 123)
Symmetry-distinct sites (fractional):
Pr  0.0000  0.5000  0.0000 x2
Sm  0.0000  0.0000  0.5000 x1
Cd  0.5000  0.5000  0.5000 x1
N  0.0000  0.0000  0.0000 x1

VASP energy ... -27.00 eV for the cell shown
Crystal system ... tetragonal
N(E_F) ... 5.16 states/eV/cell
Formation energy without anion corrections ... -67.1 kJ per mole of atoms

Record 5
The following is a GGA-PBE calculation of a relaxed Tb2PrCdN crystal, from the Alexandria database.

Unit cell a=4.8598 b=4.8598 c=5.1013 alpha=90.00 beta=90.00 gamma=90.00
Space group P4/mmm (No. 123)
Symmetry-distinct sites (fractional):
Tb  0.0000  0.5000  0.0000 x2
Pr  0.0000  0.0000  0.5000 x1
Cd  0.5000  0.5000  0.5000 x1
N  0.0000  0.0000  0.0000 x1

VASP energy ... -27.13 eV for the cell shown
Crystal system ... tetragonal
N(E_F) ... 4.95 states/eV/cell
Formation energy without anion corrections ... -74.2 kJ per mole of atoms

Record 6
The following is a GGA-PBE calculation of a relaxed Cd3PtN crystal, from the Alexandria database.

Unit cell a=4.5081 b=4.5081 c=4.5081 alpha=90.00 beta=90.00 gamma=90.00
Space group Pm-3m (No. 221)
Symmetry-distinct sites (fractional):
Cd  0.0000  0.0000  0.5000 x3
Pt  0.5000  0.5000  0.5000 x1
N  0.0000  0.0000  0.0000 x1

Distance to the lowest polymorph of the same formula ... 0.000 eV per atom
VASP energy ... -15.27 eV for the cell shown
Crystal system ... cubic
N(E_F) ... 1.98 states/eV/cell
Formation energy without anion corrections ... 35.6 kJ per mole of atoms

Record 7
The following is a GGA-PBE calculation of a relaxed Cd3PtN crystal, from the Alexandria database.

Unit cell a=5.2661 b=5.2661 c=5.2661 alpha=90.00 beta=90.00 gamma=90.00
Space group Pm-3m (No. 221)
Symmetry-distinct sites (fractional):
Cd  0.0000  0.0000  0.5000 x3
Pt  0.0000  0.0000  0.0000 x1
N  0.5000  0.5000  0.5000 x1

Distance to the lowest polymorph of the same formula ... 0.572 eV per atom
VASP energy ... -12.40 eV for the cell shown
Crystal system ... cubic
N(E_F) ... 1.54 states/eV/cell
Formation energy without anion corrections ... 90.8 kJ per mole of atoms

Record 8
The following is a GGA-PBE calculation of a relaxed CdPtN3 crystal, from the Alexandria database.

Unit cell a=4.1192 b=4.1192 c=4.1192 alpha=90.00 beta=90.00 gamma=90.00
Space group Pm-3m (No. 221)
Symmetry-distinct sites (fractional):
Cd  0.0000  0.0000  0.0000 x1
Pt  0.5000  0.5000  0.5000 x1
N  0.0000  0.0000  0.5000 x3

VASP energy ... -17.57 eV for the cell shown
Crystal system ... cubic
N(E_F) ... 5.07 states/eV/cell
Formation energy without anion corrections ... 277.1 kJ per mole of atoms

Record 9
The following is a GGA-PBE calculation of a relaxed CdPtN3 crystal, from the Alexandria database.

Unit cell a=3.9980 b=3.9980 c=3.9980 alpha=90.00 beta=90.00 gamma=90.00
Space group Pm-3m (No. 221)
Symmetry-distinct sites (fractional):
Cd  0.0000  0.0000  0.0000 x1
Pt  0.5000  0.5000  0.5000 x1
N  0.0000  0.5000  0.5000 x3

VASP energy ... -23.30 eV for the cell shown
Crystal system ... cubic
N(E_F) ... 3.49 states/eV/cell
Formation energy without anion corrections ... 166.6 kJ per mole of atoms

Record 10
The following is a GGA-PBE calculation of a relaxed Cd4Pt2N crystal, from the Alexandria database.

Unit cell a=4.5666 b=4.5666 c=13.3103 alpha=90.00 beta=90.00 gamma=90.00
Space group I4/mmm (No. 139)
Symmetry-distinct sites (fractional):
Cd  0.0000  0.0000  0.1763 x4
Cd  0.0000  0.5000  0.0000 x4
Pt  0.0000  0.0000  0.3749 x4
N  0.0000  0.0000  0.0000 x2

VASP energy ... -44.43 eV for the cell shown
Crystal system ... tetragonal
N(E_F) ... 4.98 states/eV/cell
Formation energy without anion corrections ... 25.6 kJ per mole of atoms

Record 11
The following is a GGA-PBE calculation of a relaxed CdPt2N crystal, from the Alexandria database.

Unit cell a=6.2625 b=6.2625 c=6.2625 alpha=90.00 beta=90.00 gamma=90.00
Space group Fm-3m (No. 225)
Symmetry-distinct sites (fractional):
Cd  0.0000  0.0000  0.0000 x4
Pt  0.2500  0.2500  0.2500 x8
N  0.0000  0.0000  0.5000 x4

Distance to the lowest polymorph of the same formula ... 0.839 eV per atom
VASP energy ... -66.03 eV for the cell shown
Crystal system ... cubic
N(E_F) ... 24.27 states/eV/cell
Formation energy without anion corrections ... 116.1 kJ per mole of atoms

Record 12
The following is a GGA-PBE calculation of a relaxed CdPt2N crystal, from the Alexandria database.

Unit cell a=5.0249 b=5.0249 c=12.2447 alpha=90.00 beta=90.00 gamma=90.00
Space group I-42d (No. 122)
Symmetry-distinct sites (fractional):
Cd  0.0000  0.0000  0.0000 x4
Pt  0.0665  0.2500  0.6250 x8
N  0.0000  0.0000  0.5000 x4

Distance to the lowest polymorph of the same formula ... 0.000 eV per atom
VASP energy ... -79.45 eV for the cell shown
Crystal system ... tetragonal
N(E_F) ... 7.70 states/eV/cell
Formation energy without anion corrections ... 35.2 kJ per mole of atoms